[1]
# AlRhBrO2 (PBE, optimized geometry)
# **DFT total energy**: -4.89 eV/atom
# **Formation energy without anion corrections**: -356 meV/atom
# **D(E_F)**: 0.84 states/eV/atom
# **Spin magnetization**: 1.02 μB/f.u.
data_AlRhBrO2
_chemical_formula_sum 'Al1 Rh1 Br1 O2'
_symmetry_space_group_name_H-M 'P 4/m m m'
_symmetry_Int_Tables_number 123
_symmetry_space_group_name_Hall '-P 4 2'
_cell_length_a 3.843
_cell_length_b 3.843
_cell_length_c 5.396
_cell_angle_alpha 90.00
_cell_angle_beta 90.00
_cell_angle_gamma 90.00
loop_
_atom_site_label
_atom_site_fract_x
_atom_site_fract_y
_atom_site_fract_z
_atom_site_occupancy
Al1 0.000 0.000 0.000 1
Rh1 0.000 0.000 0.500 1
Br1 0.500 0.500 0.000 1
O1 0.000 0.500 0.500 1



[2]
# AlSeBr2O (PBE, optimized geometry)
# **DFT total energy**: -2.70 eV/atom
# **Distance to the lowest polymorph of the same formula**: 0.028 eV per atom
# **Formation energy without anion corrections**: 404 meV/atom
# **D(E_F)**: 0.64 states/eV/atom
# **Spin magnetization**: 0.00 μB/f.u.
data_AlSeBr2O
_chemical_formula_sum 'Al1 Se1 Br2 O1'
_symmetry_space_group_name_H-M 'P 4/m m m'
_symmetry_Int_Tables_number 123
_symmetry_space_group_name_Hall '-P 4 2'
_cell_length_a 4.904
_cell_length_b 4.904
_cell_length_c 4.357
_cell_angle_alpha 90.00
_cell_angle_beta 90.00
_cell_angle_gamma 90.00
loop_
_atom_site_label
_atom_site_fract_x
_atom_site_fract_y
_atom_site_fract_z
_atom_site_occupancy
Al1 0.000 0.000 0.000 1
Se1 0.500 0.500 0.000 1
Br1 0.000 0.500 0.500 1
O1 0.500 0.500 0.500 1



[3]
# AlSe2BrO (PBE, optimized geometry)
# **DFT total energy**: -3.25 eV/atom
# **Distance to the lowest polymorph of the same formula**: 0.000 eV per atom
# **Formation energy without anion corrections**: 219 meV/atom
# **D(E_F)**: 0.84 states/eV/atom
# **Spin magnetization**: 0.00 μB/f.u.
data_AlSe2BrO
_chemical_formula_sum 'Al1 Se2 Br1 O1'
_symmetry_space_group_name_H-M 'P 4/m m m'
_symmetry_Int_Tables_number 123
_symmetry_space_group_name_Hall '-P 4 2'
_cell_length_a 4.146
_cell_length_b 4.146
_cell_length_c 6.270
_cell_angle_alpha 90.00
_cell_angle_beta 90.00
_cell_angle_gamma 90.00
loop_
_atom_site_label
_atom_site_fract_x
_atom_site_fract_y
_atom_site_fract_z
_atom_site_occupancy
Al1 0.000 0.000 0.000 1
Se1 0.000 0.500 0.500 1
Br1 0.500 0.500 0.000 1
O1 0.500 0.500 0.500 1



[4]
# AlSeBr2O (PBE, optimized geometry)
# **DFT total energy**: -2.73 eV/atom
# **Distance to the lowest polymorph of the same formula**: 0.000 eV per atom
# **Formation energy without anion corrections**: 376 meV/atom
# **D(E_F)**: 1.17 states/eV/atom
# **Spin magnetization**: 0.69 μB/f.u.
data_AlSeBr2O
_chemical_formula_sum 'Al1 Se1 Br2 O1'
_symmetry_space_group_name_H-M 'P 4/m m m'
_symmetry_Int_Tables_number 123
_symmetry_space_group_name_Hall '-P 4 2'
_cell_length_a 4.969
_cell_length_b 4.969
_cell_length_c 5.076
_cell_angle_alpha 90.00
_cell_angle_beta 90.00
_cell_angle_gamma 90.00
loop_
_atom_site_label
_atom_site_fract_x
_atom_site_fract_y
_atom_site_fract_z
_atom_site_occupancy
Al1 0.000 0.000 0.000 1
Se1 0.000 0.000 0.500 1
Br1 0.000 0.500 0.000 1
O1 0.500 0.500 0.500 1



[5]
# AlSe2BrO (PBE, optimized geometry)
# **DFT total energy**: -2.89 eV/atom
# **Distance to the lowest polymorph of the same formula**: 0.363 eV per atom
# **Formation energy without anion corrections**: 582 meV/atom
# **D(E_F)**: 1.16 states/eV/atom
# **Spin magnetization**: 0.03 μB/f.u.
data_AlSe2BrO
_chemical_formula_sum 'Al1 Se2 Br1 O1'
_symmetry_space_group_name_H-M 'P 4/m m m'
_symmetry_Int_Tables_number 123
_symmetry_space_group_name_Hall '-P 4 2'
_cell_length_a 4.907
_cell_length_b 4.907
_cell_length_c 4.914
_cell_angle_alpha 90.00
_cell_angle_beta 90.00
_cell_angle_gamma 90.00
loop_
_atom_site_label
_atom_site_fract_x
_atom_site_fract_y
_atom_site_fract_z
_atom_site_occupancy
Al1 0.000 0.000 0.000 1
Se1 0.000 0.500 0.000 1
Br1 0.000 0.000 0.500 1
O1 0.500 0.500 0.500 1



[6]
# SrAlBrO2 (PBE, optimized geometry)
# **DFT total energy**: -5.29 eV/atom
# **Formation energy without anion corrections**: -1885 meV/atom
# **D(E_F)**: 0.00 states/eV/atom
# **Spin magnetization**: 0.00 μB/f.u.
data_SrAlBrO2
_chemical_formula_sum 'Sr1 Al1 Br1 O2'
_symmetry_space_group_name_H-M 'P 4/m m m'
_symmetry_Int_Tables_number 123
_symmetry_space_group_name_Hall '-P 4 2'
_cell_length_a 4.004
_cell_length_b 4.004
_cell_length_c 4.907
_cell_angle_alpha 90.00
_cell_angle_beta 90.00
_cell_angle_gamma 90.00
loop_
_atom_site_label
_atom_site_fract_x
_atom_site_fract_y
_atom_site_fract_z
_atom_site_occupancy
Sr1 0.000 0.000 0.000 1
Al1 0.500 0.500 0.500 1
Br1 0.500 0.500 0.000 1
O1 0.000 0.500 0.500 1